Below is an optimized crystal structure of VIrF, with properties calculated at the PBE with a Hubbard U level.

Output
DFT total energy: -6.64 eV per atom

Cell lengths 10.2293, 2.8315, 8.5304 Å; angles 90.00, 125.81, 90.00 degrees
Space group C2/m (No. 12)
Inequivalent atoms, fractional coordinates:
1 V 0.2423 0.0000 0.3265 (multiplicity 4)
2 Ir 0.0447 0.0000 0.3778 (multiplicity 4)
3 F 0.1986 0.5000 0.1354 (multiplicity 4)